Record 1
{"formula": "MgScTl2", "functional": "SCAN", "state": "PBEsol geometry", "crystal_system": "monoclinic", "cell": [[3.4285, 0.0000, 0.0000], [-1.7142, 4.7425, 0.0049], [0.0000, -1.2001, 5.7964]], "species": ["Tl", "Tl", "Sc", "Mg"], "frac_coords": [[0.7466, 0.4932, 0.7484], [0.2534, 0.5068, 0.2516], [0.5000, 0.0000, 0.0000], [0.0000, 0.0000, 0.5000]]}



Record 2
{"formula": "MgSc3Tl", "functional": "SCAN", "state": "PBEsol geometry", "crystal_system": "cubic", "cell": [[5.1345, 0.0000, 0.0000], [0.0000, 5.1345, 0.0000], [0.0000, 0.0000, 5.1345]], "species": ["Sc", "Sc", "Sc", "Mg", "Tl"], "frac_coords": [[0.0000, 0.5000, 0.0000], [0.0000, 0.0000, 0.5000], [0.5000, 0.0000, 0.0000], [0.0000, 0.0000, 0.0000], [0.5000, 0.5000, 0.5000]]}



Record 3
{"formula": "MgSc2Tl", "functional": "SCAN", "state": "PBEsol geometry", "de_polymorph_mev_per_atom": 61.3, "crystal_system": "orthorhombic", "cell": [[3.2829, 0.0000, 0.0000], [0.0000, 4.2420, 0.0000], [0.0000, 0.0000, 6.3710]], "species": ["Mg", "Sc", "Sc", "Tl"], "frac_coords": [[0.5000, 0.5000, 0.5000], [0.0000, 0.0000, 0.2457], [0.0000, 0.0000, 0.7543], [0.5000, 0.5000, 0.0000]]}



Record 4
{"formula": "MgSc2Tl", "functional": "SCAN", "state": "PBEsol geometry", "de_polymorph_mev_per_atom": 46.6, "crystal_system": "cubic", "cell": [[4.9887, 0.0000, 0.0000], [2.4943, 4.3203, 0.0000], [2.4943, 1.4401, 4.0733]], "species": ["Sc", "Sc", "Tl", "Mg"], "frac_coords": [[0.2500, 0.2500, 0.2500], [0.7500, 0.7500, 0.7500], [0.5000, 0.5000, 0.5000], [0.0000, 0.0000, 0.0000]]}



Record 5
{"formula": "MgScTl", "functional": "SCAN", "state": "PBEsol geometry", "crystal_system": "cubic", "cell": [[-2.9766, 0.1859, 3.6877], [0.4689, -3.0717, 3.5832], [1.5482, 1.5020, 4.2239]], "species": ["Sc", "Tl", "Mg"], "frac_coords": [[0.5000, 0.5000, 0.5000], [0.2500, 0.2500, 0.2500], [0.0000, 0.0000, 0.0000]]}



Record 6
{"formula": "MgSc2Tl", "functional": "SCAN", "state": "PBEsol geometry", "de_polymorph_mev_per_atom": 188.1, "crystal_system": "tetragonal", "cell": [[3.7010, 0.0000, 0.0000], [0.0000, 3.7010, 0.0000], [0.0000, 0.0000, 6.6496]], "species": ["Sc", "Sc", "Mg", "Tl"], "frac_coords": [[0.0000, 0.0000, 0.9995], [0.5000, 0.5000, 0.2512], [0.5000, 0.5000, 0.7467], [0.0000, 0.0000, 0.5025]]}



Record 7
{"formula": "MgSc2W", "functional": "SCAN", "state": "PBEsol geometry", "crystal_system": "trigonal", "cell": [[-0.4452, 0.2627, -3.0069], [1.8737, -1.4143, -1.9488], [-5.4438, -8.4625, -1.4811]], "species": ["Sc", "Sc", "W", "Mg"], "frac_coords": [[0.7575, 0.7575, 0.7275], [0.2425, 0.2425, 0.2725], [0.5000, 0.5000, 0.5000], [0.0000, 0.0000, 0.0000]]}



Record 8
{"formula": "MgScW2", "functional": "SCAN", "state": "PBEsol geometry", "crystal_system": "orthorhombic", "cell": [[-1.2224, -0.8445, 2.2757], [-2.2041, -4.0972, -2.7045], [4.8052, -0.7342, 2.3088]], "species": ["Mg", "Sc", "W", "W"], "frac_coords": [[0.5000, 0.0000, 0.0000], [0.5000, 0.5000, 0.5000], [0.0000, 0.0000, 0.5000], [0.0000, 0.5000, 0.0000]]}



Asked for DOS(E_F) across the records above, the calculation gives 0.457; 1.814; 0.782; 0.877; 0.089; 0.669; 1.182; 0.792 states/eV/atom in order.
Asked for spin magnetization across the records above, the calculation gives 0.058; 0.019; 0.476; 0.715; 0.000; 0.787; 0.529; 0.000 μB per formula unit in order.
Asked for energy of formation from the pure elements across the records above, the calculation gives -5.7; 14.2; -7.2; -7.5; -7.7; -4.3; 6.8; 9.8 kcal/mol of atoms in order.